[1]
Material: TlTc2Rh
Method: DFT, GGA-PBE
State: optimized geometry

Properties
Energy of formation from the pure elements ... 0.40 eV/atom
Energy above the most stable polymorph in this dataset ... 0.149 eV per atom
Energy ... -7.217 eV per atom
Space group ... Cm

Unit cell a=4.8156 b=4.8156 c=5.0087 alpha=77.68 beta=77.68 gamma=35.90
Sites, in units of the cell vectors:
Rh  0.2599  0.2599  0.2410
Tc  0.0064  0.0064  0.9641
Tc  0.7346  0.7346  0.8140
Tl  0.4991  0.4991  0.4810

=====

[2]
Material: RbMg3Fe
Method: DFT, GGA-PBE
State: optimized geometry

Properties
Energy of formation from the pure elements ... 0.46 eV/atom
Energy ... -2.386 eV per atom
Space group ... Pm-3m

Unit cell a=5.2233 b=5.2233 c=5.2233 alpha=90.00 beta=90.00 gamma=90.00
Sites, in units of the cell vectors:
Rb  0.5000  0.5000  0.5000
Fe  0.0000  0.0000  0.0000
Mg  0.0000  0.5000  0.0000
Mg  0.5000  0.0000  0.0000
Mg  0.0000  0.0000  0.5000

=====

Question: Which of these has the lowest energy?
Answer: TlTc2Rh